## one
A relaxed structure of Sr2GeOs, computed with PBE.

Cell and atoms, written as POSCAR:
```
Sr2GeOs
1.0
-2.244 10.845 2.034
1.123 -1.840 11.052
1.757 5.010 6.392
Sr Ge Os
4 2 2
Direct
0.808 0.125 0.250
0.942 0.625 0.250
0.375 0.192 0.750
0.875 0.058 0.750
0.500 0.500 0.000
0.250 0.750 0.500
0.000 0.000 0.000
0.750 0.250 0.500
```

## Properties
SG   I-42d, No. 122

=====

## two
A relaxed structure of Sr2GeOs, computed with PBE.

Cell and atoms, written as POSCAR:
```
Sr2GeOs
1.0
0.000 3.710 3.710
3.710 0.000 3.710
3.710 3.710 0.000
Sr Ge Os
2 1 1
Direct
0.250 0.250 0.250
0.750 0.750 0.750
0.000 0.000 0.000
0.500 0.500 0.500
```

## Properties
SG   Fm-3m, No. 225

=====

In meV per atom, relative to the most stable structure: one 0; two 323.

=====

## one
A relaxed structure of Ta3GeOs, computed with PBE.

Cell and atoms, written as POSCAR:
```
Ta3GeOs
1.0
-1.866 -4.240 -0.216
2.816 -1.413 3.402
-3.177 1.238 3.143
Ge Os Ta
1 1 3
Direct
0.000 0.000 0.000
0.500 0.500 0.500
0.000 0.500 0.000
0.000 0.000 0.500
0.500 0.000 0.000
```

## Properties
SG   Pm-3m, No. 221

=====

## two
A relaxed structure of Ta3GeOs, computed with PBE.

Cell and atoms, written as POSCAR:
```
Ta3GeOs
1.0
4.855 0.000 0.000
0.000 4.855 0.000
0.000 0.000 4.855
Ge Os Ta
1 1 3
Direct
0.500 0.500 0.500
0.000 0.000 0.000
0.000 0.500 0.000
0.000 0.000 0.500
0.500 0.000 0.000
```

## Properties
SG   Pm-3m, No. 221

=====

In meV per atom, relative to the most stable structure: one 190; two 0.

=====

## one
A relaxed structure of Tb2Ge3Os, computed with PBE.

Cell and atoms, written as POSCAR:
```
Tb2Ge3Os
1.0
1.372 4.169 0.279
-0.304 2.067 5.267
5.556 0.373 1.773
Tb Ge Os
2 3 1
Direct
0.545 0.195 0.714
0.433 0.816 0.319
0.875 0.590 0.660
0.804 0.268 0.123
0.175 0.745 0.906
0.168 0.386 0.277
```

## Properties
SG   Cm, No. 8

=====

## two
A relaxed structure of Tb2Ge3Os, computed with PBE.

Cell and atoms, written as POSCAR:
```
Tb2Ge3Os
1.0
-3.227 -0.835 -2.808
3.785 -0.654 -4.153
0.064 -4.314 4.591
Tb Ge Os
2 3 1
Direct
0.684 0.184 0.368
0.316 0.816 0.632
0.372 0.372 0.744
0.000 0.000 0.000
0.628 0.628 0.256
0.000 0.500 0.000
```

## Properties
SG   Immm, No. 71

=====

In meV per atom, relative to the most stable structure: one 0; two 295.

=====

## one
A relaxed structure of TbGe3Os2, computed with PBE.

Cell and atoms, written as POSCAR:
```
TbGe3Os2
1.0
5.796 -0.018 -0.020
0.021 6.087 -0.181
0.021 -0.754 6.043
Tb Ge Os
2 6 4
Direct
0.250 0.371 0.371
0.750 0.629 0.629
0.750 0.437 0.122
0.750 0.122 0.437
0.250 0.563 0.878
0.750 0.983 0.983
0.250 0.017 0.017
0.250 0.878 0.563
0.500 0.782 0.218
0.000 0.782 0.218
0.000 0.218 0.782
0.500 0.218 0.782
```

## Properties
SG   Cmcm, No. 63

=====

## two
A relaxed structure of TbGe3Os2, computed with PBE.

Cell and atoms, written as POSCAR:
```
TbGe3Os2
1.0
-1.668 -2.779 2.774
6.335 -0.330 0.198
0.121 5.952 6.035
Tb Ge Os
2 6 4
Direct
0.186 0.372 0.250
0.814 0.628 0.750
0.622 0.244 0.024
0.132 0.263 0.750
0.622 0.244 0.476
0.868 0.737 0.250
0.378 0.756 0.976
0.378 0.756 0.524
0.000 0.000 0.000
0.000 0.000 0.500
0.471 0.942 0.250
0.529 0.058 0.750
```

## Properties
SG   Cmcm, No. 63

=====

In meV per atom, relative to the most stable structure: one 149; two 0.

=====

## one
A relaxed structure of TcGeOs3, computed with PBE.

Cell and atoms, written as POSCAR:
```
TcGeOs3
1.0
4.685 0.000 0.000
0.000 4.685 0.000
0.000 0.000 4.685
Ge Os Tc
1 3 1
Direct
0.500 0.500 0.500
0.000 0.500 0.000
0.000 0.000 0.500
0.500 0.000 0.000
0.000 0.000 0.000
```

## Properties
SG   Pm-3m, No. 221

=====

## two
A relaxed structure of TcGeOs3, computed with PBE.

Cell and atoms, written as POSCAR:
```
TcGeOs3
1.0
4.473 0.000 0.000
0.000 4.473 0.000
0.000 0.000 4.473
Ge Os Tc
1 3 1
Direct
0.000 0.000 0.000
0.000 0.500 0.000
0.000 0.000 0.500
0.500 0.000 0.000
0.500 0.500 0.500
```

## Properties
SG   Pm-3m, No. 221

=====

In meV per atom, relative to the most stable structure: one 294; two 0.

=====

## one
A relaxed structure of GeTeOs2, computed with PBE.

Cell and atoms, written as POSCAR:
```
GeTeOs2
1.0
-2.072 -3.734 3.765
-3.648 -1.930 -3.922
1.020 -6.704 -1.783
Ge Te Os
2 2 4
Direct
0.500 0.500 0.000
0.250 0.750 0.500
0.000 0.000 0.000
0.750 0.250 0.500
0.604 0.125 0.250
0.146 0.625 0.250
0.375 0.396 0.750
0.875 0.854 0.750
```

## Properties
SG   I-42d, No. 122

=====

## two
A relaxed structure of GeTeOs2, computed with PBE.

Cell and atoms, written as POSCAR:
```
GeTeOs2
1.0
0.000 3.202 3.202
3.202 0.000 3.202
3.202 3.202 0.000
Ge Te Os
1 1 2
Direct
0.000 0.000 0.000
0.500 0.500 0.500
0.250 0.250 0.250
0.750 0.750 0.750
```

## Properties
SG   Fm-3m, No. 225

=====

In meV per atom, relative to the most stable structure: one 183; two 0.

=====

## one
A relaxed structure of Th3Ge3Os2, computed with PBE.

Cell and atoms, written as POSCAR:
```
Th3Ge3Os2
1.0
4.260 0.000 0.000
-2.130 5.539 0.000
0.000 0.000 15.409
Th Ge Os
6 6 4
Direct
0.859 0.719 0.409
0.141 0.281 0.909
0.859 0.719 0.091
0.141 0.281 0.591
0.594 0.187 0.250
0.406 0.813 0.750
0.584 0.168 0.448
0.416 0.832 0.948
0.584 0.168 0.052
0.416 0.832 0.552
0.310 0.620 0.250
0.690 0.380 0.750
0.846 0.693 0.878
0.154 0.307 0.378
0.846 0.693 0.622
0.154 0.307 0.122
```

## Properties
SG   Cmcm, No. 63

=====

## two
A relaxed structure of Th3Ge3Os2, computed with PBE.

Cell and atoms, written as POSCAR:
```
Th3Ge3Os2
1.0
-1.883 -3.231 -4.426
6.819 1.486 -3.986
6.328 -12.260 6.257
Th Ge Os
12 12 8
Direct
0.116 0.462 0.390
0.616 0.038 0.610
0.884 0.538 0.890
0.384 0.962 0.110
0.884 0.538 0.610
0.384 0.962 0.390
0.116 0.462 0.110
0.616 0.038 0.890
0.630 0.320 0.250
0.130 0.180 0.750
0.370 0.680 0.750
0.870 0.820 0.250
0.118 0.172 0.250
0.618 0.328 0.750
0.882 0.828 0.750
0.382 0.672 0.250
0.614 0.317 0.463
0.114 0.183 0.537
0.386 0.683 0.963
0.886 0.817 0.037
0.386 0.683 0.537
0.886 0.817 0.463
0.614 0.317 0.037
0.114 0.183 0.963
0.877 0.101 0.391
0.377 0.399 0.609
0.123 0.899 0.891
0.623 0.601 0.109
0.123 0.899 0.609
0.623 0.601 0.391
0.877 0.101 0.109
0.377 0.399 0.891
```

## Properties
SG   Pnma, No. 62

=====

In meV per atom, relative to the most stable structure: one 0; two 34.

=====

## one
A relaxed structure of Th2Ge3Os2, computed with PBE.

Cell and atoms, written as POSCAR:
```
Th2Ge3Os2
1.0
4.186 0.000 -0.998
0.000 7.093 0.000
0.063 0.000 9.543
Th Ge Os
4 6 4
Direct
0.158 0.250 0.316
0.842 0.750 0.684
0.946 0.250 0.892
0.054 0.750 0.108
0.221 0.750 0.441
0.779 0.250 0.559
0.565 0.440 0.130
0.435 0.560 0.870
0.435 0.940 0.870
0.565 0.060 0.130
0.695 0.946 0.389
0.305 0.054 0.611
0.305 0.446 0.611
0.695 0.554 0.389
```

## Properties
SG   Cmcm, No. 63

=====

## two
A relaxed structure of Th2Ge3Os2, computed with PBE.

Cell and atoms, written as POSCAR:
```
Th2Ge3Os2
1.0
4.257 0.000 0.000
-2.129 5.173 -0.195
0.000 -2.636 6.503
Th Ge Os
2 3 2
Direct
0.855 0.710 0.225
0.145 0.290 0.775
0.500 0.000 0.000
0.629 0.258 0.436
0.371 0.742 0.564
0.860 0.721 0.790
0.140 0.279 0.210
```

## Properties
SG   C2/m, No. 12

=====

In meV per atom, relative to the most stable structure: one 0; two 22.

=====

## one
A relaxed structure of Th2GeOs, computed with PBE.

Cell and atoms, written as POSCAR:
```
Th2GeOs
1.0
4.264 0.000 0.000
2.132 3.693 0.000
2.132 1.231 6.767
Ge Os Th
1 1 2
Direct
0.500 0.500 0.500
0.000 0.000 0.000
0.258 0.258 0.226
0.742 0.742 0.774
```

## Properties
SG   R-3m, No. 166

=====

## two
A relaxed structure of Th2GeOs, computed with PBE.

Cell and atoms, written as POSCAR:
```
Th2GeOs
1.0
4.174 0.000 0.000
0.000 5.992 -0.043
0.000 -3.046 7.996
Th Ge Os
4 2 2
Direct
0.750 0.220 0.448
0.250 0.780 0.552
0.250 0.776 0.094
0.750 0.224 0.906
0.250 0.337 0.205
0.750 0.663 0.795
0.750 0.673 0.294
0.250 0.327 0.706
```

## Properties
SG   P2_1/m, No. 11

=====

In meV per atom, relative to the most stable structure: one 166; two 0.

=====

## one
A relaxed structure of Th2Ge3Os, computed with PBE.

Cell and atoms, written as POSCAR:
```
Th2Ge3Os
1.0
4.035 0.000 0.000
0.000 4.482 0.000
0.000 0.000 7.328
Th Ge Os
2 3 1
Direct
0.000 0.500 0.018
0.000 0.000 0.491
0.500 0.000 0.829
0.500 0.000 0.172
0.500 0.500 0.664
0.500 0.500 0.326
```

## Properties
SG   Pmm2, No. 25

=====

## two
A relaxed structure of Th2Ge3Os, computed with PBE.

Cell and atoms, written as POSCAR:
```
Th2Ge3Os
1.0
-3.089 -3.841 3.421
-1.542 -2.941 -4.997
8.298 -0.845 1.435
Th Ge Os
4 6 2
Direct
0.250 0.750 0.500
0.739 0.739 0.000
0.750 0.250 0.500
0.261 0.261 0.000
0.668 0.162 0.830
0.838 0.332 0.170
0.332 0.838 0.170
0.162 0.668 0.830
0.829 0.829 0.658
0.171 0.171 0.342
0.337 0.337 0.674
0.663 0.663 0.326
```

## Properties
SG   Fmmm, No. 69

=====

In meV per atom, relative to the most stable structure: one 21; two 0.

=====

## one
A relaxed structure of Th3Ge2Os, computed with PBE.

Cell and atoms, written as POSCAR:
```
Th3Ge2Os
1.0
4.324 0.000 0.000
0.000 11.719 0.000
0.000 0.000 11.988
Th Ge Os
12 8 4
Direct
0.250 0.371 0.053
0.750 0.629 0.947
0.750 0.871 0.447
0.250 0.129 0.553
0.250 0.699 0.222
0.750 0.301 0.778
0.750 0.199 0.278
0.250 0.801 0.722
0.250 0.443 0.379
0.750 0.557 0.621
0.750 0.943 0.121
0.250 0.057 0.879
0.250 0.689 0.487
0.750 0.311 0.513
0.750 0.189 0.013
0.250 0.811 0.987
0.250 0.996 0.312
0.750 0.004 0.688
0.750 0.496 0.188
0.250 0.504 0.812
0.250 0.127 0.130
0.750 0.873 0.870
0.750 0.627 0.370
0.250 0.373 0.630
```

## Properties
SG   Pnma, No. 62

=====

## two
A relaxed structure of Th3Ge2Os, computed with PBE.

Cell and atoms, written as POSCAR:
```
Th3Ge2Os
1.0
5.955 0.000 0.000
0.000 8.501 0.001
-2.978 -2.128 6.417
Th Ge Os
6 4 2
Direct
0.490 0.250 0.000
0.510 0.750 0.000
0.152 0.076 0.304
0.848 0.424 0.696
0.152 0.576 0.304
0.848 0.924 0.696
0.675 0.587 0.350
0.675 0.087 0.350
0.325 0.913 0.650
0.325 0.413 0.650
0.001 0.750 0.000
0.999 0.250 0.000
```

## Properties
SG   C2/c, No. 15

=====

In meV per atom, relative to the most stable structure: one 0; two 125.